# 1
The following is a GGA-PBE calculation of a relaxed structure of Th4Tc2I5, from Alexandria via LeMat-Bulk.

Cell lengths 4.0147, 9.2756, 11.1022 Å; angles 114.69, 100.42, 90.00 degrees
Fractional coordinates of all 11 atoms:
I 0.8305 0.0399 0.6610
Tc 0.4379 0.4379 0.8759
Th 0.6816 0.6816 0.3632
Th 0.0000 0.2995 0.0000
I 0.5000 0.0000 0.0000
Th 0.3184 0.3184 0.6368
I 0.1695 0.9601 0.3390
Tc 0.5621 0.5621 0.1241
I 0.1695 0.3789 0.3390
Th 0.0000 0.7005 0.0000
I 0.8305 0.6211 0.6610

Formation energy (no corrections) = -0.52 eV per atom
Space group = Immm
VASP energy = -5.805 eV per atom

---

# 2
The following is a GGA-PBE calculation of a relaxed structure of Na3Sm3SbSe8, from Alexandria via LeMat-Bulk.

Cell lengths 8.3883, 8.3879, 8.5677 Å; angles 119.33, 90.00, 120.00 degrees
Fractional coordinates of all 15 atoms:
Se 0.2349 0.4698 0.7259
Se 0.2556 0.5112 0.2669
Sm 0.5000 0.5000 0.5000
Se 0.7651 0.5302 0.2741
Na 0.5000 0.5000 0.0000
Sm 0.0000 0.5000 0.5000
Se 0.7651 0.0089 0.2741
Na 0.0000 0.0000 0.0000
Sb 0.0000 0.0000 0.5000
Se 0.7563 0.9911 0.7259
Se 0.7444 0.4888 0.7331
Sm 0.5000 0.0000 0.5000
Se 0.2349 0.9911 0.7259
Na 0.0000 0.5000 0.0000
Se 0.2437 0.0089 0.2741

Formation energy (no corrections) = -1.37 eV per atom
Space group = R-3m
VASP energy = -4.711 eV per atom

---

# 3
The following is a GGA-PBE calculation of a relaxed structure of Sm3Ho6Tm2Th, from Alexandria via LeMat-Bulk.

Cell lengths 6.1497, 6.1497, 11.7607 Å; angles 95.01, 95.01, 119.99 degrees
Fractional coordinates of all 12 atoms:
Sm 0.8329 0.1671 0.5000
Sm 0.5000 0.5000 0.5000
Tm 0.3331 0.6669 0.0000
Ho 0.7521 0.7521 0.2468
Tm 0.6669 0.3331 0.0000
Ho 0.5870 0.9175 0.7530
Ho 0.4130 0.0825 0.2470
Ho 0.9175 0.5870 0.7530
Ho 0.2479 0.2479 0.7532
Sm 0.1671 0.8329 0.5000
Ho 0.0825 0.4130 0.2470
Th 0.0000 0.0000 0.0000

DFT formation energy = 20.4 meV/atom
Space group = C2/m
VASP energy = -4.812 eV per atom

---

# 4
The following is a GGA-PBE calculation of a relaxed structure of CaAc4In, from Alexandria via LeMat-Bulk.

Cell lengths 7.2107, 7.2107, 7.2107 Å; angles 60.00, 60.00, 60.00 degrees
Fractional coordinates of all 6 atoms:
In 0.0000 0.0000 0.0000
Ca 0.2500 0.2500 0.2500
Ac 0.6259 0.6259 0.1222
Ac 0.1222 0.6259 0.6259
Ac 0.6259 0.1222 0.6259
Ac 0.6259 0.6259 0.6259

DFT formation energy = 258.1 meV/atom
Space group = F-43m
VASP energy = -3.271 eV per atom

---

# 5
The following is a GGA-PBE calculation of a relaxed structure of LaCoIr, from Alexandria via LeMat-Bulk.

Cell lengths 4.5965, 4.5965, 4.5965 Å; angles 60.00, 60.00, 60.00 degrees
Fractional coordinates of all 3 atoms:
Co 0.5000 0.5000 0.5000
La 0.0000 0.0000 0.0000
Ir 0.7500 0.7500 0.7500

DFT formation energy = 179.0 meV/atom
Space group = F-43m
VASP energy = -6.786 eV per atom

---

# 6
The following is a GGA-PBE calculation of a relaxed structure of KSr2TlIr, from Alexandria via LeMat-Bulk.

Cell lengths 5.9122, 5.9122, 5.4458 Å; angles 90.00, 90.00, 90.00 degrees
Fractional coordinates of all 5 atoms:
Ir 0.0000 0.0000 0.0000
Sr 0.0000 0.5000 0.0000
Sr 0.5000 0.0000 0.0000
K 0.5000 0.5000 0.5000
Tl 0.0000 0.0000 0.5000

DFT formation energy = -104.2 meV/atom
Space group = P4/mmm
VASP energy = -3.242 eV per atom

---

# 7
The following is a GGA-PBE calculation of a relaxed structure of TmCuRh2, from Alexandria via LeMat-Bulk.

Cell lengths 4.4898, 4.4898, 4.4898 Å; angles 60.00, 60.00, 60.00 degrees
Fractional coordinates of all 4 atoms:
Rh 0.7500 0.7500 0.7500
Rh 0.2500 0.2500 0.2500
Cu 0.5000 0.5000 0.5000
Tm 0.0000 0.0000 0.0000

DFT formation energy = -467.3 meV/atom
Space group = Fm-3m
VASP energy = -6.285 eV per atom

---

# 8
The following is a GGA-PBE calculation of a relaxed structure of LaNd6Ho5, from Alexandria via LeMat-Bulk.

Cell lengths 5.1402, 10.2070, 9.5804 Å; angles 122.18, 105.54, 90.01 degrees
Fractional coordinates of all 12 atoms:
Nd 0.8333 0.0852 0.6665
Nd 0.1667 0.4187 0.3335
Nd 0.8333 0.5813 0.6665
Ho 0.0000 0.5000 0.0000
Ho 0.3315 0.8316 0.6632
Nd 0.5000 0.7466 0.0000
Ho 0.6685 0.1684 0.3368
Nd 0.5000 0.2534 0.0000
Ho 0.3327 0.3326 0.6652
Nd 0.1667 0.9148 0.3335
Ho 0.6673 0.6674 0.3348
La 0.0000 0.0000 0.0000

DFT formation energy = 19.0 meV/atom
Space group = Immm
VASP energy = -4.683 eV per atom

---

# 9
The following is a GGA-PBE calculation of a relaxed structure of SrAcAsI, from Alexandria via LeMat-Bulk.

Cell lengths 4.5183, 4.5186, 8.6705 Å; angles 90.01, 105.10, 120.00 degrees
Fractional coordinates of all 4 atoms:
I 0.9666 0.3814 0.3631
As 0.3033 0.5495 0.8681
Ac 0.1037 0.9498 0.0687
Sr 0.5043 0.1500 0.6697

Formation energy (no corrections) = -1.31 eV per atom
Space group = R3m
VASP energy = -4.308 eV per atom

---

# 10
The following is a GGA-PBE calculation of a relaxed structure of PmTmGeAu, from Alexandria via LeMat-Bulk.

Cell lengths 5.1164, 5.1164, 5.1164 Å; angles 60.00, 60.00, 60.00 degrees
Fractional coordinates of all 4 atoms:
Tm 0.5000 0.5000 0.5000
Pm 0.0000 0.0000 0.0000
Au 0.2500 0.2500 0.2500
Ge 0.7500 0.7500 0.7500

DFT formation energy = -725.5 meV/atom
Excess energy over the best structure of this formula in the dataset = 95 meV/atom
Space group = F-43m
VASP energy = -5.005 eV per atom

---

# 11
The following is a GGA-PBE calculation of a relaxed structure of KGa6Br12, from Alexandria via LeMat-Bulk.

Cell lengths 10.1984, 10.1984, 10.1984 Å; angles 108.07, 108.07, 108.07 degrees
Fractional coordinates of all 19 atoms:
Br 0.6352 0.9418 0.8325
K 0.0000 0.0000 0.0000
Br 0.3648 0.0582 0.1675
Ga 0.2869 0.4042 0.4967
Ga 0.4967 0.2869 0.4042
Br 0.6194 0.5506 0.2108
Br 0.3806 0.4494 0.7892
Br 0.0582 0.1675 0.3648
Br 0.8325 0.6352 0.9418
Br 0.1675 0.3648 0.0582
Br 0.4494 0.7892 0.3806
Br 0.9418 0.8325 0.6352
Ga 0.5033 0.7131 0.5958
Ga 0.7131 0.5958 0.5033
Br 0.2108 0.6194 0.5506
Ga 0.5958 0.5033 0.7131
Br 0.5506 0.2108 0.6194
Br 0.7892 0.3806 0.4494
Ga 0.4042 0.4967 0.2869

Formation energy (no corrections) = -0.68 eV per atom
Space group = R-3
VASP energy = -2.747 eV per atom

---

# 12
The following is a GGA-PBE calculation of a relaxed structure of PmEr, from Alexandria via LeMat-Bulk.

Cell lengths 4.0346, 4.0346, 4.0346 Å; angles 90.00, 90.00, 90.00 degrees
Fractional coordinates of all 2 atoms:
Er 0.5000 0.5000 0.5000
Pm 0.0000 0.0000 0.0000

DFT formation energy = 108.4 meV/atom
Excess energy over the best structure of this formula in the dataset = 91 meV/atom
Space group = Pm-3m
VASP energy = -4.548 eV per atom